Entry from Alexandria via LeMat-Bulk: an optimized crystal structure of InFe2F2 (PBE+U).

Values from the calculation:
* distance to the lowest polymorph of the same formula: 129 kJ/mol of formula units
* N(E_F): 0.505 states/eV per atom
* space-group type: P4/mbm

Cell and atoms, written as extended XYZ:
```
10
Lattice="7.926 0.000 0.000 0.000 7.926 0.000 0.000 0.000 3.690" Properties=species:S:1:pos:R:3 pbc="T T T"
In 0.000 0.000 0.000
In 3.963 3.963 0.000
Fe 1.456 2.507 0.000
Fe 2.507 6.471 0.000
Fe 5.419 1.456 0.000
Fe 6.471 5.419 0.000
F 1.000 2.963 1.845
F 2.963 6.926 1.845
F 4.964 1.000 1.845
F 6.926 4.964 1.845
```


Entry from Alexandria via LeMat-Bulk: an optimized crystal structure of ScVGe2O8 (PBE+U).

Values from the calculation:
* calculated total energy: -7.091 eV per atom
* space-group type: I-4m2

Cell and atoms, written as extended XYZ:
```
12
Lattice="-3.264 3.264 3.123 3.264 -3.264 3.123 3.264 3.264 -3.123" Properties=species:S:1:pos:R:3 pbc="T T T"
Sc 0.000 0.000 0.000
V 3.264 0.000 1.562
Ge 0.000 0.000 3.123
Ge 0.000 3.264 1.562
O 1.958 3.264 -1.196
O 1.306 0.000 1.927
O 0.000 2.069 0.275
O 3.264 1.958 1.196
O 0.000 4.459 0.275
O 0.000 1.306 4.320
O -1.195 3.264 2.848
O 1.195 3.264 2.848
```